Compound: InTcMo2Pd
Source: the Alexandria database
Functional: GGA-PBE
Structure: relaxed

Results
DOS(E_F) ... 7.707 states/eV per cell
Energy of formation ... 1.3442 eV/atom
Final energy ... -6.65 eV per atom
Space group ... P4/mmm

Lattice parameters (Å, degrees): 4.654 5.080 4.654 90.00 90.00 90.00
Element x y z (fractional)
1 Tc 0.000 0.000 0.000
2 Mo 0.500 0.000 0.000
3 Mo 0.000 0.000 0.500
4 Pd 0.500 0.500 0.500
5 In 0.000 0.500 0.000